# NiTeHN2

NiTeHN2 after structural relaxation (PBE, the Alexandria database).

Unit cell a=3.8377 b=3.8377 c=3.5803 alpha=90.00 beta=90.00 gamma=90.00
With the nearest neighbours (Å) after each atom.
Element x y z (fractional)
Ni 0.5000 0.5000 0.5000  8 N 2.62, 4 Te 2.71
Te 0.0000 0.0000 0.5000  2 H 1.79
H 0.0000 0.0000 0.0000  2 Te 1.79, 4 N 1.92
N 0.0000 0.5000 0.0000  2 H 1.92
N 0.5000 0.0000 0.0000  2 H 1.92

Summary:
V   52.7 Å³ per cell
Energy above the most stable polymorph in this dataset   0.500 eV/atom
Space-group type   No. 123
Total magnetization   0.0 Bohr magnetons per cell

=====

# VNiH2N

VNiH2N after structural relaxation (PBE, the Alexandria database).

Unit cell a=3.2375 b=3.9438 c=3.2375 alpha=90.00 beta=90.00 gamma=90.00
With the nearest neighbours (Å) after each atom.
Element x y z (fractional)
Ni 0.5000 0.5000 0.5000  4 V 2.29, 8 H 2.55
N 0.0000 0.0000 0.0000  4 H 1.62
H 0.0000 0.0000 0.5000  2 N 1.62
H 0.5000 0.0000 0.0000  2 N 1.62
V 0.0000 0.5000 0.0000  2 N 1.97

Summary:
E_tot   -5.24 eV/atom
V   41.3 Å³ per cell
Space-group type   No. 123
Total magnetization   0.0 Bohr magnetons per cell

=====

# VNiHN2

VNiHN2 after structural relaxation (PBE, the Alexandria database).

Unit cell a=3.7649 b=3.2277 c=3.7649 alpha=90.00 beta=90.00 gamma=90.00
With the nearest neighbours (Å) after each atom.
Element x y z (fractional)
Ni 0.5000 0.5000 0.5000  8 N 2.48, 4 H 2.66
N 0.0000 0.0000 0.5000  2 V 1.88
N 0.5000 0.0000 0.0000  2 V 1.88
H 0.0000 0.5000 0.0000  2 V 1.61
V 0.0000 0.0000 0.0000  2 H 1.61

Summary:
E_tot   -6.54 eV/atom
V   45.7 Å³ per cell
Space-group type   No. 123
Total magnetization   0.0 Bohr magnetons per cell